No. 1
CaMo2Ru | PBE | relaxed

The structure in CIF format:
```
data_CaMo2Ru
_chemical_formula_sum 'Ca2 Mo4 Ru2'
_symmetry_space_group_name_H-M 'C m m 2'
_symmetry_Int_Tables_number 35
_cell_length_a 4.159
_cell_length_b 4.170
_cell_length_c 8.460
_cell_angle_alpha 90.00
_cell_angle_beta 90.00
_cell_angle_gamma 90.00
loop_
_symmetry_equiv_pos_as_xyz
'x,y,z'
'-x,-y,z'
'-x,y,z'
'x,-y,z'
'x+1/2,y+1/2,z'
'-x+1/2,-y+1/2,z'
'-x+1/2,y+1/2,z'
'x+1/2,-y+1/2,z'
loop_
_atom_site_label
_atom_site_type_symbol
_atom_site_fract_x
_atom_site_fract_y
_atom_site_fract_z
Ca1 Ca 0.000 0.000 0.000
Mo1 Mo 0.000 0.000 0.551
Mo2 Mo 0.000 0.500 0.314
Ru1 Ru 0.000 0.500 0.730
```

Values from the calculation:
**DFT formation energy**: 422 meV/atom
**Polymorph energy (0 for the lowest one)**: 11.8 meV per atom

No. 2
NpTlPdBr6 | PBE | relaxed

The structure in CIF format:
```
data_NpTlPdBr6
_chemical_formula_sum 'Np2 Tl2 Pd2 Br12'
_symmetry_space_group_name_H-M 'P -3 1 c'
_symmetry_Int_Tables_number 163
_symmetry_space_group_name_Hall '-P 3 2c'
_cell_length_a 6.9932
_cell_length_b 6.9932
_cell_length_c 15.3395
_cell_angle_alpha 90.00
_cell_angle_beta 90.00
_cell_angle_gamma 120.00
loop_
_atom_site_label
_atom_site_type_symbol
_atom_site_fract_x
_atom_site_fract_y
_atom_site_fract_z
Np1 Np 0.3333 0.6667 0.2500
Tl1 Tl 0.0000 0.0000 0.0000
Pd1 Pd 0.3333 0.6667 0.7500
Br1 Br 0.0063 0.3614 0.6430
```

Values from the calculation:
**Uncorrected formation energy**: -7.83 eV/f.u.

No. 3
CaPm2Au3 | PBE | relaxed

The structure in CIF format:
```
data_CaPm2Au3
_chemical_formula_sum 'Ca1 Pm2 Au3'
_symmetry_space_group_name_H-M 'P 4/m m m'
_symmetry_Int_Tables_number 123
_symmetry_space_group_name_Hall '-P 4 2'
_cell_length_a 3.671
_cell_length_b 3.671
_cell_length_c 11.140
_cell_angle_alpha 90.00
_cell_angle_beta 90.00
_cell_angle_gamma 90.00
loop_
_atom_site_label
_atom_site_type_symbol
_atom_site_fract_x
_atom_site_fract_y
_atom_site_fract_z
Ca1 Ca 0.000 0.000 0.000
Pm1 Pm 0.000 0.000 0.331
Au1 Au 0.500 0.500 0.175
Au2 Au 0.500 0.500 0.500
```

Values from the calculation:
**DFT formation energy**: -792 meV/atom
**Polymorph energy (0 for the lowest one)**: 2.3 meV per atom

No. 4
TbPrDyMg | PBE | relaxed

The structure in CIF format:
```
data_TbPrDyMg
_chemical_formula_sum 'Tb1 Pr1 Dy1 Mg1'
_symmetry_space_group_name_H-M 'P 4 m m'
_symmetry_Int_Tables_number 99
_cell_length_a 3.682
_cell_length_b 3.682
_cell_length_c 9.072
_cell_angle_alpha 90.00
_cell_angle_beta 90.00
_cell_angle_gamma 90.00
loop_
_symmetry_equiv_pos_as_xyz
'x,y,z'
'-y,x,z'
'-x,-y,z'
'y,-x,z'
'-x,y,z'
'y,x,z'
'x,-y,z'
'-y,-x,z'
loop_
_atom_site_label
_atom_site_type_symbol
_atom_site_fract_x
_atom_site_fract_y
_atom_site_fract_z
Tb1 Tb 0.000 0.000 0.000
Pr1 Pr 0.500 0.500 0.276
Dy1 Dy 0.000 0.000 0.551
Mg1 Mg 0.500 0.500 0.774
```

Values from the calculation:
**DFT formation energy**: -29 meV/atom
**Polymorph energy (0 for the lowest one)**: 0.0 meV per atom

No. 5
NdPaFe | PBE | relaxed

The structure in CIF format:
```
data_NdPaFe
_chemical_formula_sum 'Nd2 Pa2 Fe2'
_symmetry_space_group_name_H-M 'I 4 m m'
_symmetry_Int_Tables_number 107
_symmetry_space_group_name_Hall 'I 4 -2'
_cell_length_a 3.412
_cell_length_b 3.412
_cell_length_c 11.519
_cell_angle_alpha 90.00
_cell_angle_beta 90.00
_cell_angle_gamma 90.00
loop_
_atom_site_label
_atom_site_type_symbol
_atom_site_fract_x
_atom_site_fract_y
_atom_site_fract_z
Nd1 Nd 0.000 0.000 0.000
Pa1 Pa 0.000 0.000 0.709
Fe1 Fe 0.000 0.000 0.292
```

Values from the calculation:
**DFT formation energy**: 3 meV/atom
**Polymorph energy (0 for the lowest one)**: 0.0 meV per atom

No. 6
Ba2TaZn | PBE | relaxed

The structure in CIF format:
```
data_Ba2TaZn
_chemical_formula_sum 'Ba4 Ta2 Zn2'
_symmetry_space_group_name_H-M 'C 1 m 1'
_symmetry_Int_Tables_number 8
_cell_length_a 13.534
_cell_length_b 3.574
_cell_length_c 5.768
_cell_angle_alpha 90.00
_cell_angle_beta 115.00
_cell_angle_gamma 90.00
loop_
_symmetry_equiv_pos_as_xyz
'x,y,z'
'x,-y,z'
'x+1/2,y+1/2,z'
'x+1/2,-y+1/2,z'
loop_
_atom_site_label
_atom_site_type_symbol
_atom_site_fract_x
_atom_site_fract_y
_atom_site_fract_z
Ba1 Ba 0.000 0.000 0.000
Ba2 Ba 0.204 0.000 0.701
Ta1 Ta 0.285 0.500 0.282
Zn1 Zn 0.444 0.000 0.444
```

Values from the calculation:
**DFT formation energy**: 614 meV/atom

So what do the calculations give for V? Going down the list: 18.3, 36.1, 25.0, 30.7, 22.3, 31.6 Å³ per atom.